! Nd2Ni3Sb4Au, optimized geometry, DFT PBE; values from VASP
&SYSTEM
  ibrav = 0, nat = 10, ntyp = 4
/
ATOMIC_SPECIES
Nd 144.24 Nd.upf
Ni 58.69 Ni.upf
Sb 121.76 Sb.upf
Au 196.97 Au.upf
CELL_PARAMETERS angstrom
4.553 0.000 0.000
0.000 4.553 0.000
0.000 0.000 10.250
ATOMIC_POSITIONS crystal
Nd 0.000 0.500 0.248
Nd 0.500 0.000 0.752
Ni 0.000 0.000 0.000
Ni 0.000 0.500 0.617
Ni 0.500 0.000 0.383
Sb 0.000 0.000 0.500
Sb 0.000 0.500 0.859
Sb 0.500 0.000 0.141
Sb 0.500 0.500 0.500
Au 0.500 0.500 0.000
! - energy relative to the elements, uncorrected (eV/atom) = -0.584


! SrLi3Zn4H12, optimized geometry, DFT PBE; values from VASP
&SYSTEM
  ibrav = 0, nat = 20, ntyp = 4
/
ATOMIC_SPECIES
Sr 87.62 Sr.upf
Li 6.94 Li.upf
Zn 65.41 Zn.upf
H 1.01 H.upf
CELL_PARAMETERS angstrom
4.958 2.862 2.595
-4.958 2.862 2.595
0.000 -5.725 2.595
ATOMIC_POSITIONS crystal
Sr 0.000 0.000 0.000
Li 0.000 0.570 0.430
Li 0.430 0.000 0.570
Li 0.570 0.430 0.000
Zn 0.079 0.500 0.921
Zn 0.500 0.500 0.500
Zn 0.500 0.921 0.079
Zn 0.921 0.079 0.500
H 0.083 0.674 0.772
H 0.084 0.916 0.500
H 0.228 0.326 0.917
H 0.326 0.917 0.228
H 0.337 0.663 0.500
H 0.500 0.084 0.916
H 0.500 0.337 0.663
H 0.663 0.500 0.337
H 0.674 0.772 0.083
H 0.772 0.083 0.674
H 0.916 0.500 0.084
H 0.917 0.228 0.326
! - energy (Ha/atom) = -0.10092


! Ce4Ge3Au, optimized geometry, DFT PBE; values from VASP
&SYSTEM
  ibrav = 0, nat = 8, ntyp = 3
/
ATOMIC_SPECIES
Ce 140.12 Ce.upf
Ge 72.64 Ge.upf
Au 196.97 Au.upf
CELL_PARAMETERS angstrom
4.208 0.000 0.000
0.000 4.275 0.000
0.000 0.000 11.198
ATOMIC_POSITIONS crystal
Ce 0.000 0.000 0.000
Ce 0.000 0.500 0.494
Ce 0.500 0.000 0.714
Ce 0.500 0.500 0.218
Ge 0.000 0.000 0.274
Ge 0.500 0.000 0.439
Ge 0.500 0.500 0.941
Au 0.000 0.500 0.779
! - energy relative to the elements (meV per atom) = -678


! BePbBr2, optimized geometry, DFT PBE; values from VASP
&SYSTEM
  ibrav = 0, nat = 8, ntyp = 3
/
ATOMIC_SPECIES
Be 9.01 Be.upf
Pb 207.20 Pb.upf
Br 79.90 Br.upf
CELL_PARAMETERS angstrom
6.646 0.000 0.000
0.000 8.300 0.000
-3.304 0.000 4.154
ATOMIC_POSITIONS crystal
Be 0.000 0.000 0.000
Be 0.500 0.500 0.000
Pb 0.000 0.500 0.000
Pb 0.500 0.000 0.000
Br 0.250 0.250 0.500
Br 0.250 0.750 0.500
Br 0.750 0.250 0.500
Br 0.750 0.750 0.500
! - offset from the most stable computed form (meV per atom) = 595
! - energy relative to the elements, uncorrected (eV/atom) = 0.169